1.
# AlRh3 | Alexandria | SCAN | PBEsol geometry
# E_tot = -27.833 eV per atom
# Energy of formation from the pure elements = -567 meV per atom
data_AlRh3
_chemical_formula_sum 'Al2 Rh6'
_space_group_name_H-M_alt 'C m m m'
_space_group_IT_number 65
_space_group_name_Hall '-C 2 2'
_cell_length_a 5.437
_cell_length_b 7.245
_cell_length_c 2.729
_cell_angle_alpha 90.00
_cell_angle_beta 90.00
_cell_angle_gamma 90.00
loop_
_atom_site_label
_atom_site_type_symbol
_atom_site_fract_x
_atom_site_fract_y
_atom_site_fract_z
Al1 Al 0.000 0.000 0.000
Rh1 Rh 0.000 0.500 0.000
Rh2 Rh 0.250 0.250 0.500



2.
# AlRuRh | Alexandria | SCAN | PBEsol geometry
# E_tot = -25.862 eV per atom
# Energy of formation from the pure elements = -412 meV per atom
data_AlRuRh
_chemical_formula_sum 'Al1 Ru1 Rh1'
_space_group_name_H-M_alt 'P 3 m 1'
_space_group_IT_number 156
_cell_length_a 2.7322
_cell_length_b 2.7322
_cell_length_c 6.2610
_cell_angle_alpha 90.00
_cell_angle_beta 90.00
_cell_angle_gamma 120.00
loop_
_space_group_symop_operation_xyz
'x,y,z'
'-y,x-y,z'
'-x+y,-x,z'
'-y,-x,z'
'-x+y,y,z'
'x,x-y,z'
loop_
_atom_site_label
_atom_site_type_symbol
_atom_site_fract_x
_atom_site_fract_y
_atom_site_fract_z
Al1 Al 0.0000 0.0000 0.0000
Ru1 Ru 0.6667 0.3333 0.3315
Rh1 Rh 0.3333 0.6667 0.6745



3.
# Al3RuRh | Alexandria | SCAN | PBEsol geometry
# E_tot = -18.179 eV per atom
# Energy of formation from the pure elements = 192 meV per atom
data_Al3RuRh
_chemical_formula_sum 'Al3 Ru1 Rh1'
_space_group_name_H-M_alt 'P m -3 m'
_space_group_IT_number 221
_space_group_name_Hall '-P 4 2 3'
_cell_length_a 4.504
_cell_length_b 4.504
_cell_length_c 4.504
_cell_angle_alpha 90.00
_cell_angle_beta 90.00
_cell_angle_gamma 90.00
loop_
_atom_site_label
_atom_site_type_symbol
_atom_site_fract_x
_atom_site_fract_y
_atom_site_fract_z
Al1 Al 0.000 0.000 0.500
Ru1 Ru 0.000 0.000 0.000
Rh1 Rh 0.500 0.500 0.500



4.
# Al2Sb2Rh | Alexandria | SCAN | PBEsol geometry
# E_tot = -24.740 eV per atom
# Formation energy from raw total energies = 1.9 kJ/mol of atoms
data_Al2Sb2Rh
_chemical_formula_sum 'Al4 Sb4 Rh2'
_space_group_name_H-M_alt 'P 4/m b m'
_space_group_IT_number 127
_space_group_name_Hall '-P 4 2ab'
_cell_length_a 6.573
_cell_length_b 6.573
_cell_length_c 4.521
_cell_angle_alpha 90.00
_cell_angle_beta 90.00
_cell_angle_gamma 90.00
loop_
_atom_site_label
_atom_site_type_symbol
_atom_site_fract_x
_atom_site_fract_y
_atom_site_fract_z
Al1 Al 0.142 0.358 0.000
Sb1 Sb 0.177 0.677 0.500
Rh1 Rh 0.000 0.000 0.000